(1)
VASP calculation (PBE) on a relaxed TbCeLuMg crystal.

abc: 7.737 7.737 7.737
angles: 90.00 90.00 90.00
Space group F-43m (No. 216)
Symmetry-distinct sites (fractional):
Tb  0.000  0.000  0.000
Ce  0.000  0.000  0.500
Lu  0.250  0.250  0.250
Mg  0.250  0.250  0.750

Calculated values
Magnetic moment: 5.1 μB/cell
Crystal system: cubic
D(E_F): 28.27 states/eV/cell
Energy: -4.10 eV per atom


(2)
VASP calculation (PBE) on a relaxed SrHg3Pb3 crystal.

abc: 7.8231 7.8231 24.5635
angles: 90.00 90.00 120.00
Space group R-3 (No. 148, hexagonal axes)
Symmetry-distinct sites (fractional):
Sr  0.0000  0.0000  0.1671
Hg  0.0191  0.7780  0.5569
Pb  0.0463  0.6039  0.3730

Calculated values
Polymorph energy (0 for the lowest one): 0 meV/atom
Magnetic moment: 0.0 μB/cell
Crystal system: trigonal
D(E_F): 25.52 states/eV/cell


(3)
VASP calculation (PBE) on a relaxed ReBP2 crystal.

abc: 5.153 5.153 8.950
angles: 90.00 90.00 90.00
Space group I-42d (No. 122)
Symmetry-distinct sites (fractional):
Re  0.000  0.000  0.000
B  0.000  0.000  0.500
P  0.193  0.250  0.625

Calculated values
Magnetic moment: 0.0 μB/cell
Crystal system: tetragonal
D(E_F): 10.05 states/eV/cell
Energy: -7.29 eV per atom